Density functional theory data (GGA-PBE) for SnSO5 after structural relaxation.

Size of the total moment (μB per formula unit): 0.00
Symmetry: C2/c, No. 15
Formation energy without anion corrections (meV per atom): -1362

Lattice parameters (Å, degrees): 5.501 5.500 7.160 106.47 106.45 99.43
Sites, in units of the cell vectors:
Sn (0.500, 0.000, 0.000)
Sn (0.500, 0.000, 0.500)
S (0.837, 0.664, 0.250)
S (0.163, 0.336, 0.750)
O (0.822, 0.851, 0.135)
O (0.109, 0.729, 0.398)
O (0.408, 0.093, 0.250)
O (0.649, 0.678, 0.366)
O (0.351, 0.322, 0.634)
O (0.770, 0.392, 0.101)
O (0.230, 0.608, 0.899)
O (0.592, 0.907, 0.750)
O (0.891, 0.271, 0.602)
O (0.178, 0.149, 0.865)